# 1
# AcLaGaCu

AcLaGaCu after structural relaxation (PBE, the Alexandria database).

a = 5.378 Å, b = 5.378 Å, c = 5.378 Å
α = 60.00°, β = 60.00°, γ = 60.00°
Fractional coordinates of all 4 atoms:
Ac (0.000, 0.000, 0.000)
Cu (0.250, 0.250, 0.250)
Ga (0.750, 0.750, 0.750)
La (0.500, 0.500, 0.500)

Summary:
density of states at the Fermi level = 3.75 states/eV/cell
crystal system = cubic
total magnetic moment = 0.00 μB/cell
calculated density = 7.5 g/cm³
space-group type = No. 216
formation energy = -7.0 kcal/mol of atoms

---

# 2
# Rb3OsC

Rb3OsC after structural relaxation (PBE, the Alexandria database).

a = 5.927 Å, b = 5.927 Å, c = 5.927 Å
α = 90.00°, β = 90.00°, γ = 90.00°
Last column: magnetic moment on the atom in μB.
Fractional coordinates of all 5 atoms:
C (0.000, 0.000, 0.000)  1.04
Os (0.500, 0.500, 0.500)  2.38
Rb (0.000, 0.500, 0.000)  0.03
Rb (0.000, 0.000, 0.500)  0.03
Rb (0.500, 0.000, 0.000)  0.03

Summary:
density of states at the Fermi level = 8.09 states/eV/cell
crystal system = cubic
total magnetic moment = 5.00 μB/cell
calculated density = 3.7 g/cm³
energy relative to the lowest polymorph listed for this composition = 0 meV/atom
space-group type = No. 221
formation energy = 47.1 kcal/mol of atoms

---

# 3
# PmPr3Sm2Se6

PmPr3Sm2Se6 after structural relaxation (PBE, the Alexandria database).

a = 7.310 Å, b = 7.310 Å, c = 7.339 Å
α = 99.53°, β = 99.53°, γ = 120.26°
Fractional coordinates of all 12 atoms:
Pm (0.000, 0.000, 0.000)
Pr (0.166, 0.834, 0.500)
Pr (0.834, 0.166, 0.500)
Pr (0.500, 0.500, 0.500)
Sm (0.333, 0.667, 0.000)
Sm (0.667, 0.333, 0.000)
Se (0.919, 0.584, 0.757)
Se (0.746, 0.746, 0.242)
Se (0.081, 0.416, 0.243)
Se (0.584, 0.919, 0.757)
Se (0.254, 0.254, 0.758)
Se (0.416, 0.081, 0.243)

Summary:
density of states at the Fermi level = 5.75 states/eV/cell
crystal system = monoclinic
total magnetic moment = 0.00 μB/cell
calculated density = 7.0 g/cm³
space-group type = No. 12
DFT total energy = -5.9566 eV/atom

---

# 4
# SrSiP2

SrSiP2 after structural relaxation (PBE, the Alexandria database).

a = 3.750 Å, b = 3.617 Å, c = 6.007 Å
α = 90.00°, β = 90.00°, γ = 90.00°
Fractional coordinates of all 4 atoms:
P (0.000, 0.000, 0.067)
P (0.000, 0.000, 0.433)
Si (0.500, 0.500, 0.250)
Sr (0.500, 0.500, 0.750)

Summary:
density of states at the Fermi level = 1.47 states/eV/cell
crystal system = orthorhombic
total magnetic moment = 0.00 μB/cell
calculated density = 3.6 g/cm³
space-group type = No. 47
DFT total energy = -4.6079 eV/atom

---

# 5
# Sr2ZrSc

Sr2ZrSc after structural relaxation (PBE, the Alexandria database).

a = 6.774 Å, b = 6.774 Å, c = 6.412 Å
α = 71.08°, β = 71.08°, γ = 30.26°
Last column: magnetic moment on the atom in μB.
Fractional coordinates of all 4 atoms:
Sc (0.215, 0.215, 0.242)  0.01
Sr (0.982, 0.982, 0.057)  0.03
Sr (0.771, 0.771, 0.687)  0.01
Zr (0.532, 0.532, 0.514)  0.32

Summary:
density of states at the Fermi level = 6.32 states/eV/cell
crystal system = monoclinic
total magnetic moment = 0.74 μB/cell
calculated density = 3.7 g/cm³
energy relative to the lowest polymorph listed for this composition = 152 meV/atom
space-group type = No. 8
formation energy = 9.9 kcal/mol of atoms

---

# 6
# Y2Er2Sb3

Y2Er2Sb3 after structural relaxation (PBE, the Alexandria database).

a = 7.938 Å, b = 7.938 Å, c = 7.938 Å
α = 109.47°, β = 109.47°, γ = 109.47°
Fractional coordinates of all 14 atoms:
Y (0.500, 0.353, 0.500)
Y (0.000, 0.000, 0.353)
Y (0.647, 0.147, 0.147)
Y (0.853, 0.500, 0.000)
Er (0.000, 0.000, 0.856)
Er (0.500, 0.856, 0.500)
Er (0.144, 0.644, 0.644)
Er (0.356, 0.500, 0.000)
Sb (0.750, 0.627, 0.377)
Sb (0.250, 0.873, 0.123)
Sb (0.623, 0.750, 0.873)
Sb (0.877, 0.250, 0.627)
Sb (0.373, 0.123, 0.750)
Sb (0.127, 0.377, 0.250)

Summary:
density of states at the Fermi level = 14.87 states/eV/cell
crystal system = cubic
total magnetic moment = 0.00 μB/cell
calculated density = 7.6 g/cm³
energy relative to the lowest polymorph listed for this composition = 0 meV/atom
space-group type = No. 199

---

# 7
# K2LiTc

K2LiTc after structural relaxation (PBE, the Alexandria database).

a = 5.858 Å, b = 5.858 Å, c = 5.858 Å
α = 60.00°, β = 60.00°, γ = 60.00°
Last column: magnetic moment on the atom in μB.
Fractional coordinates of all 4 atoms:
K (0.250, 0.250, 0.250)  0.00
K (0.750, 0.750, 0.750)  0.00
Tc (0.500, 0.500, 0.500)  2.98
Li (0.000, 0.000, 0.000)  -0.04

Summary:
density of states at the Fermi level = 5.85 states/eV/cell
crystal system = cubic
total magnetic moment = 3.38 μB/cell
calculated density = 2.1 g/cm³
energy relative to the lowest polymorph listed for this composition = 308 meV/atom
space-group type = No. 225
formation energy = 28.1 kcal/mol of atoms

---

# 8
# CdAs2Se

CdAs2Se after structural relaxation (PBE, the Alexandria database).

a = 5.577 Å, b = 2.877 Å, c = 5.775 Å
α = 74.71°, β = 90.00°, γ = 90.00°
Fractional coordinates of all 4 atoms:
As (0.000, 0.998, 0.120)
As (0.500, 0.002, 0.128)
Se (0.500, 0.766, 0.586)
Cd (0.000, 0.734, 0.666)

Summary:
density of states at the Fermi level = 1.47 states/eV/cell
crystal system = monoclinic
total magnetic moment = 0.00 μB/cell
calculated density = 6.3 g/cm³
energy relative to the lowest polymorph listed for this composition = 155 meV/atom
space-group type = No. 6

---

What is the density of states at the Fermi level in the first record? 3.75 states/eV/cell